Computed, not measured: a geometry-optimized LaScPb2 structure at the GGA-PBE level of DFT.

Calculated values
* V: 115.89 Å³/cell
* ΔE_f: -423 meV/atom

Unit cell a=6.3880 b=6.3880 c=4.5910 alpha=68.93 beta=68.93 gamma=42.09
Closest atoms and distances in Å follow each position.
Element x y z (fractional)
Pb: 0.0000 0.0000 0.0003  4 Sc 3.25, 4 Pb 3.58-3.59, 4 La 3.58-3.59
Pb: 0.7497 0.7497 0.7500  4 La 3.25, 4 Sc 3.58-3.59, 4 Pb 3.58-3.59
Sc: 0.5002 0.5002 0.5000  8 Pb 3.25-3.59, 4 La 3.58
La: 0.2501 0.2501 0.2496  8 Pb 3.25-3.59, 4 Sc 3.58